A relaxed structure of SrZr2Ta, computed with PBE-GGA.

extended XYZ file:
```
4
Lattice="3.419 0.000 0.000 0.000 3.419 0.000 0.000 0.000 9.399" Properties=species:S:1:pos:R:3 pbc="T T T"
Sr 0.000 0.000 0.000
Zr 1.710 1.710 3.052
Zr 1.710 1.710 6.347
Ta 0.000 0.000 4.699
```

Results
Energy of formation ... 0.301 eV/atom
Energy above the most stable polymorph in this dataset ... 0.0 meV/atom
Space-group type ... P4/mmm, No. 123


A relaxed structure of SrZr2Ta, computed with PBE-GGA.

extended XYZ file:
```
8
Lattice="4.633 0.000 0.000 0.000 4.633 0.000 0.000 0.000 9.137" Properties=species:S:1:pos:R:3 pbc="T T T"
Sr 0.000 0.000 0.000
Sr 2.317 2.317 4.568
Zr 0.000 0.000 4.568
Zr 0.000 2.317 2.284
Zr 2.317 0.000 6.853
Zr 2.317 2.317 0.000
Ta 0.000 2.317 6.853
Ta 2.317 0.000 2.284
```

Results
Energy of formation ... 0.742 eV/atom
Energy above the most stable polymorph in this dataset ... 440.9 meV/atom
Space-group type ... I-4m2, No. 119


What did we get for VASP energy? Answer: -7.356, -6.915 eV/atom, in the order shown.
What did we get for density of states at the Fermi level? Answer: 3.7, 12.2 states/eV per cell, in the order shown.